# 1
Below is AlZn2Rh2 after structural relaxation, with properties calculated at the GGA-PBE level.

Computed properties:
Volume, Å³/cell: 152.6
Total DFT energy (no corrections), eV/cell: -46.886
Space-group type: P4/mbm, No. 127
Energy relative to the elements, eV/f.u.: -2.45

Lattice parameters (Å, degrees): 6.3123 6.3123 3.8291 90.00 90.00 90.00
Fractional positions:
Zn (0.1532, 0.6532, 0.5000)
Zn (0.6532, 0.8468, 0.5000)
Zn (0.8468, 0.3468, 0.5000)
Zn (0.3468, 0.1532, 0.5000)
Rh (0.3510, 0.8510, 0.0000)
Rh (0.8510, 0.6490, 0.0000)
Rh (0.6490, 0.1490, 0.0000)
Rh (0.1490, 0.3510, 0.0000)
Al (0.0000, 0.0000, 0.0000)
Al (0.5000, 0.5000, 0.0000)

=====

# 2
Below is TlGaTe after structural relaxation, with properties calculated at the GGA-PBE level.

Computed properties:
Volume, Å³/cell: 394.5
Total DFT energy (no corrections), eV/cell: -33.462
Space-group type: Fddd, No. 70
E_form (uncorrected), kJ/mol of formula units: 16

Lattice parameters (Å, degrees): 6.4137 6.4137 10.8814 110.05 110.05 80.61
Fractional positions:
Tl (0.6089, 0.6089, 0.2178)
Tl (0.3911, 0.3911, 0.7822)
Tl (0.6411, 0.1411, 0.2822)
Tl (0.8589, 0.3589, 0.7178)
Te (0.0324, 0.5324, 0.5000)
Te (0.7824, 0.7824, 0.0000)
Te (0.4676, 0.9676, 0.5000)
Te (0.2176, 0.2176, 0.0000)
Ga (0.1250, 0.3750, 0.2500)
Ga (0.1250, 0.8750, 0.7500)
Ga (0.1250, 0.8750, 0.2500)
Ga (0.6250, 0.8750, 0.7500)